Model P:
VASP calculation (PBE-GGA) on crystalline Sm2Ho2CI3Cl2 at its relaxed geometry.

Cell: 9.0795 9.0795 8.5539 Å, 102.65 102.65 24.92°
Each line ends with the local moment (μB).
Fractional coordinates of all 10 atoms:
C1 0.5000 0.5000 0.0000  0.00
Cl1 0.8347 0.8347 0.1563  0.00
Cl2 0.1653 0.1653 0.8437  0.00
Ho1 0.9969 0.9969 0.1875  0.03
Ho2 0.0031 0.0031 0.8125  0.03
I1 0.1694 0.1694 0.3525  0.00
I2 0.5000 0.5000 0.5000  0.00
I3 0.8306 0.8306 0.6475  0.00
Sm1 0.6425 0.6425 0.0679  0.06
Sm2 0.3575 0.3575 0.9321  0.06

---

Model Q:
VASP calculation (PBE-GGA) on crystalline Sm2Ho2CI3Cl2 at its relaxed geometry.

Cell: 9.0422 9.0422 8.7765 Å, 102.34 102.34 25.22°
Fractional coordinates of all 10 atoms:
C1 0.5000 0.5000 0.0000
Cl1 0.8281 0.8281 0.1296
Cl2 0.1719 0.1719 0.8704
Ho1 0.6383 0.6383 0.0644
Ho2 0.3617 0.3617 0.9356
I1 0.1758 0.1758 0.3315
I2 0.5000 0.5000 0.5000
I3 0.8242 0.8242 0.6685
Sm1 0.9961 0.9961 0.1914
Sm2 0.0039 0.0039 0.8086

---

Model R:
VASP calculation (PBE-GGA) on crystalline Sm2Ho2CI3Cl2 at its relaxed geometry.

Cell: 9.4123 9.4123 8.4469 Å, 100.36 100.36 23.89°
Each line ends with the local moment (μB).
Fractional coordinates of all 10 atoms:
C1 0.5000 0.5000 0.0000  0.00
Cl1 0.1452 0.1452 0.3097  0.01
Cl2 0.8548 0.8548 0.6903  0.01
Ho1 0.9978 0.9978 0.1902  0.02
Ho2 0.0022 0.0022 0.8098  0.02
I1 0.8276 0.8276 0.1991  0.00
I2 0.5000 0.5000 0.5000  0.00
I3 0.1724 0.1724 0.8009  0.00
Sm1 0.6364 0.6364 0.0691  0.07
Sm2 0.3636 0.3636 0.9309  0.07

---

Relative to the most stable structure, the computed energies are model P 2.1; model Q 0.9; model R 0.0, all in kJ/mol of atoms.